Density functional theory data (PBE) for a geometry-optimized ZnGaSe structure.

Unit cell a=4.262 b=5.342 c=6.322 alpha=101.15 beta=95.75 gamma=99.09
Positions (direct):
Zn  0.000  0.000  0.000
Zn  0.420  0.395  0.637
Ga  0.137  0.417  0.255
Ga  0.736  0.676  0.386
Se  0.438  0.719  0.996
Se  0.865  0.120  0.633

Properties
energy relative to the elements, uncorrected: -0.89 eV per formula unit
crystal system: triclinic
total magnetization: 0.00 Bohr magnetons per cell

***

Density functional theory data (PBE) for a geometry-optimized Zr2Ag structure.

Unit cell a=3.436 b=3.436 c=10.815 alpha=90.00 beta=90.00 gamma=90.00
Positions (direct):
Zr  0.250  0.250  0.093
Zr  0.250  0.250  0.727
Zr  0.750  0.750  0.273
Zr  0.750  0.750  0.907
Ag  0.250  0.250  0.429
Ag  0.750  0.750  0.571

Properties
energy: -6.685 eV/atom
crystal system: tetragonal
total magnetization: 0.00 Bohr magnetons per cell

***

Density functional theory data (PBE) for a geometry-optimized TcBi2Pt structure.

Unit cell a=6.167 b=6.167 c=12.485 alpha=90.00 beta=90.00 gamma=90.00
Positions (direct):
Tc  0.000  0.000  0.000
Tc  0.000  0.500  0.250
Tc  0.500  0.000  0.750
Tc  0.500  0.500  0.500
Bi  0.242  0.250  0.125
Bi  0.250  0.742  0.375
Bi  0.250  0.758  0.875
Bi  0.258  0.250  0.625
Bi  0.742  0.750  0.625
Bi  0.750  0.242  0.875
Bi  0.750  0.258  0.375
Bi  0.758  0.750  0.125
Pt  0.000  0.000  0.500
Pt  0.000  0.500  0.750
Pt  0.500  0.000  0.250
Pt  0.500  0.500  0.000

Properties
energy: -5.360 eV/atom
crystal system: tetragonal
total magnetization: 0.00 Bohr magnetons per cell

***

Number 2 is which compound? Zr2Ag

***

Repeat the first record exactly.
Density functional theory data (PBE) for a geometry-optimized ZnGaSe structure.

Unit cell a=4.262 b=5.342 c=6.322 alpha=101.15 beta=95.75 gamma=99.09
Positions (direct):
Zn  0.000  0.000  0.000
Zn  0.420  0.395  0.637
Ga  0.137  0.417  0.255
Ga  0.736  0.676  0.386
Se  0.438  0.719  0.996
Se  0.865  0.120  0.633

Properties
energy relative to the elements, uncorrected: -0.89 eV per formula unit
crystal system: triclinic
total magnetization: 0.00 Bohr magnetons per cell